DFT (GGA-PBE) results for a geometry-optimized Li3GeH structure.

Volume, Å³/cell: 144
Space-group type: C2/m (12)
Energy above the lowest structure with this stoichiometry, eV/atom: 0.016

Geometry as POSCAR:
```
Li3GeH
1.0
3.417 0.000 0.000
-1.708 6.805 0.114
0.000 -0.496 6.183
Ge Li H
2 6 2
Cartesian
1.708 2.582 2.335
0.000 3.728 3.961
1.708 1.981 5.499
0.000 1.097 3.712
0.000 0.813 1.011
0.000 4.328 0.798
1.708 5.497 5.286
1.708 5.213 2.585
1.708 5.709 0.897
0.000 0.601 5.400
```

---

DFT (GGA-PBE) results for a geometry-optimized CaIn8Pd4 structure.

Volume, Å³/cell: 274
Space-group type: I4/mmm (139)
Formation enthalpy at 0 K, eV per atom: -0.4122

Geometry as POSCAR:
```
CaIn8Pd4
1.0
-4.191 1.020 3.943
-6.700 1.047 -3.061
-3.336 -6.206 2.391
In Pd Ca
8 4 1
Cartesian
-3.383 -0.851 0.955
-10.844 -3.288 2.317
-8.055 -0.041 0.111
-6.172 -1.074 2.380
-8.055 -3.065 0.893
-4.476 -3.748 0.543
-5.560 -1.411 -1.214
-6.173 -4.098 3.162
-5.446 1.033 0.441
-1.668 -3.103 1.195
-3.350 0.523 -1.531
-3.764 -2.593 3.167
0.000 0.000 0.000
```

---

- Among the records above, which one has the highest volume?
  CaIn8Pd4

---

- Among the records above, which one has the lowest volume?
  Li3GeH

---

- Number 2 is which compound?
  CaIn8Pd4